No. 1
A relaxed Y5IrPd4 crystal. Source: Alexandria, functional PBE.

Geometry as extended XYZ:
```
10
Lattice="3.474 0.000 0.000 0.000 3.474 0.000 0.000 0.000 17.829" Properties=species:S:1:pos:R:3 pbc="T T T"
Y 0.000 0.000 0.000
Y 0.000 0.000 3.605
Y 0.000 0.000 7.246
Y 0.000 0.000 10.583
Y 0.000 0.000 14.224
Ir 1.737 1.737 8.914
Pd 1.737 1.737 1.796
Pd 1.737 1.737 5.364
Pd 1.737 1.737 12.465
Pd 1.737 1.737 16.033
```

Values from the calculation:
Its total energy is -0.51897 Ry/atom. The calculation puts the energy of formation from the pure elements at -0.87 eV per atom. As for the size of the total moment: 0.0 μB per formula unit.


No. 2
A relaxed Y2IrPd crystal. Source: Alexandria, functional PBE.

Geometry as extended XYZ:
```
4
Lattice="3.479 0.000 0.000 0.000 3.479 0.000 0.000 0.000 6.966" Properties=species:S:1:pos:R:3 pbc="T T T"
Y 0.000 0.000 1.666
Y 0.000 0.000 5.300
Ir 1.739 1.739 0.000
Pd 1.739 1.739 3.483
```

Values from the calculation:
As for the offset from the most stable computed form: 16 meV per atom. Its total energy is -0.55930 Ry/atom. The calculation puts the energy of formation from the pure elements at -0.86 eV per atom. As for the size of the total moment: 0.0 μB per formula unit.


No. 3
A relaxed Y4IrPd crystal. Source: Alexandria, functional PBE.

Geometry as extended XYZ:
```
6
Lattice="4.856 0.000 0.000 0.000 4.856 0.000 0.000 0.000 6.901" Properties=species:S:1:pos:R:3 pbc="T T T"
Y 0.000 2.428 1.671
Y 0.000 2.428 5.230
Y 2.428 0.000 1.671
Y 2.428 0.000 5.230
Ir 0.000 0.000 0.000
Pd 2.428 2.428 3.450
```

Values from the calculation:
Its total energy is -0.53113 Ry/atom. The calculation puts the energy of formation from the pure elements at -0.57 eV per atom. As for the size of the total moment: 0.0 μB per formula unit.